1.
Entry from OQMD: a relaxed structure of HfThFe (GGA-PBE).

**Formation enthalpy at 0 K**: 0.152 eV per atom
**Calculated total energy**: -8.407 eV per atom
**Volume**: 68.2 Å³/f.u.
**Magnetic moment**: 0.030 μB per atom
**Energy above the lowest structure with this stoichiometry**: 0.0 meV/atom

Lattice parameters (Å, degrees): 6.486 6.486 6.486 90.00 90.00 90.00
Space group F-43m (No. 216)
Symmetry-distinct sites (fractional):
1 Hf 0.000 0.000 0.000 (multiplicity 4)
2 Th 0.000 0.000 0.500 (multiplicity 4)
3 Fe 0.250 0.250 0.250 (multiplicity 4)

---

2.
Entry from OQMD: a relaxed structure of HfTlFe2 (GGA-PBE).

**Calculated total energy**: -6.910 eV per atom
**Volume**: 67.4 Å³/f.u.
**Magnetic moment**: 1.212 μB per atom

Lattice parameters (Å, degrees): 6.460 6.460 6.460 90.00 90.00 90.00
Space group F-43m (No. 216)
Symmetry-distinct sites (fractional):
1 Hf 0.000 0.000 0.000 (multiplicity 4)
2 Tl 0.250 0.250 0.750 (multiplicity 4)
3 Fe 0.000 0.000 0.500 (multiplicity 4)
4 Fe 0.250 0.250 0.250 (multiplicity 4)